A plane-wave DFT calculation with PBE-GGA was carried out for a relaxed structure of Cd4Ag4Au3.

Lattice parameters (Å, degrees): 3.0675 4.1137 16.6853 96.83 95.27 90.19
Last column: nearest neighbours and their distance in Å.
Space group P-1 (No. 2)
Symmetry-distinct sites (fractional):
Cd  0.0462  0.0470  0.0936 x2  4 Ag 2.96-2.97, 5 Au 2.97-3.00, 3 Cd 3.07-3.09
Cd  0.3183  0.3182  0.6363 x2  4 Au 2.95-2.97, 6 Ag 2.97-2.99, 2 Cd 3.07
Ag  0.2278  0.2283  0.4561 x2  6 Ag 2.94-3.07, 5 Cd 2.97-2.99, 1 Au 3.01
Ag  0.4089  0.4095  0.8168 x2  5 Cd 2.96-2.98, 5 Au 2.96-3.02, 2 Ag 3.07
Au  0.1370  0.1361  0.2737 x2  5 Cd 2.95-2.97, 5 Ag 2.96-3.01, 2 Au 3.07
Au  0.5000  0.5000  0.0000 x1  8 Cd 2.99-3.00, 2 Ag 3.02, 2 Au 3.07

Results
- Energy of formation from the pure elements: -105.6 meV/atom

=====

A plane-wave DFT calculation with PBE-GGA was carried out for a relaxed structure of Li2AsAu.

Lattice parameters (Å, degrees): 5.6137 7.3798 3.0423 90.00 90.00 90.00
Last column: nearest neighbours and their distance in Å.
Space group Cmmm (No. 65)
Symmetry-distinct sites (fractional):
Li  0.2500  0.2500  0.0000 x4  4 As 2.77, 4 Au 2.77, 4 Li 2.81-3.04
As  0.0000  0.0000  0.5000 x2  8 Li 2.77, 2 Au 2.81, 2 As 3.04
Au  0.0000  0.5000  0.5000 x2  8 Li 2.77, 2 As 2.81, 2 Au 3.04

Results
- Energy of formation from the pure elements: -517.7 meV/atom

=====

A plane-wave DFT calculation with PBE-GGA was carried out for a relaxed structure of CrSiSe3.

Lattice parameters (Å, degrees): 4.7681 4.7681 4.7681 90.00 90.00 90.00
Last column: nearest neighbours and their distance in Å.
Space group Pm-3m (No. 221)
Symmetry-distinct sites (fractional):
Cr  0.0000  0.0000  0.0000 x1  12 Se 3.37
Si  0.5000  0.5000  0.5000 x1  6 Se 2.38
Se  0.0000  0.5000  0.5000 x3  2 Si 2.38

Results
- Formation energy from raw total energies: 0.901 eV per atom